No. 1
DFT (GGA-PBE) results for a geometry-optimized Zn3P2H4O8 structure.

```
17
Lattice="5.608 0.058 1.269 -0.168 5.496 -0.536 0.854 -0.773 7.298" Properties=species:S:1:pos:R:3 pbc="T T T"
O 4.306 2.132 6.274
O 1.918 2.681 1.792
O 2.624 3.762 5.360
O 4.610 3.111 3.938
O 3.558 0.993 2.708
O 1.538 1.660 4.092
O 4.945 4.585 5.996
O 1.274 0.230 1.969
H 4.051 1.719 3.204
H 1.123 0.733 6.727
H 2.145 3.012 4.861
H 5.321 4.100 1.227
Zn 0.386 3.798 1.491
Zn 1.217 4.722 6.743
Zn 5.783 0.931 6.579
P 2.024 1.414 2.637
P 4.221 3.385 5.412
```

No. 2
5
Lattice="4.632 0.000 0.000 0.000 4.881 0.000 0.000 0.000 4.632" Properties=species:S:1:pos:R:3 comment="YVSbOs2 GGA-PBE optimized geometry" e_form_raw_ev_per_atom=0.660 pbc="T T T"
Sb 0.000 2.441 0.000
V 0.000 0.000 0.000
Os 2.316 0.000 0.000
Os 0.000 0.000 2.316
Y 2.316 2.441 2.316

No. 3
7
Lattice="-2.573 1.598 1.705 -2.646 -7.442 2.980 7.089 3.719 3.671" Properties=species:S:1:pos:R:3 comment="Tb3Ho2Er2 GGA-PBE optimized geometry" relative_energy_mev_per_atom=97 formation_energy_ev_per_atom=0.11 pbc="T T T"
Er 0.840 -1.095 2.294
Er 1.029 -1.031 6.062
Ho 4.805 3.254 4.203
Ho -2.936 -5.379 4.153
Tb -1.323 -3.721 1.490
Tb 1.527 1.915 4.053
Tb 0.342 -4.041 4.303

No. 4
3
Lattice="-1.660 -1.592 1.752 1.828 -2.222 -0.287 2.737 3.674 3.546" Properties=species:S:1:pos:R:3 comment="CuAgPd GGA-PBE optimized geometry" relative_energy_mev_per_atom=0 formation_energy_ev_per_atom=-0.03 pbc="T T T"
Cu 1.052 -1.300 2.201
Ag 0.038 0.024 0.058
Pd 1.814 1.137 2.752

No. 5
DFT (GGA-PBE) results for a geometry-optimized Sr2ZnH6 structure.

```
18
Lattice="6.550 0.000 0.000 0.000 4.968 -0.283 0.000 -0.230 7.419" Properties=species:S:1:pos:R:3 pbc="T T T"
H 4.138 3.777 6.914
H 4.742 4.138 3.879
H 5.687 1.408 3.346
H 6.330 4.483 1.678
H 1.808 0.599 3.257
H 1.467 2.968 6.825
H 0.220 0.255 5.458
H 5.084 1.770 0.311
H 2.412 0.960 0.222
H 3.495 1.884 5.528
H 0.863 3.329 3.790
H 3.055 2.854 1.608
Zn 3.275 2.484 -0.141
Zn 0.000 -0.115 3.709
Sr 3.973 0.196 1.944
Sr 2.577 4.542 5.192
Sr 5.852 2.564 5.512
Sr 0.698 2.173 1.624
```

No. 6
5
Lattice="-3.440 -0.501 1.187 1.148 -2.730 2.174 1.066 4.384 4.941" Properties=species:S:1:pos:R:3 comment="InOsO2F GGA-PBE optimized geometry" e_form_raw_ev_per_atom=-0.977 pbc="T T T"
O -1.720 -0.251 0.594
O 0.574 -1.365 1.087
In -0.613 0.576 4.151
Os 0.000 0.000 0.000
F 0.533 2.192 2.470

No. 7
5
Lattice="4.478 0.000 0.000 0.000 4.478 0.000 0.000 0.000 3.960" Properties=species:S:1:pos:R:3 comment="Hf2TaAlH GGA-PBE optimized geometry" relative_energy_mev_per_atom=0 pbc="T T T"
Hf 2.239 0.000 0.000
Hf 0.000 2.239 0.000
H 0.000 0.000 0.000
Al 2.239 2.239 1.980
Ta 0.000 0.000 1.980

No. 8
12
Lattice="-3.496 4.934 -0.738 -5.180 -6.182 2.527 5.475 2.444 5.888" Properties=species:S:1:pos:R:3 comment="Pm4NiPb GGA-PBE optimized geometry" relative_energy_mev_per_atom=39 formation_energy_ev_per_atom=-0.27 pbc="T T T"
Ni -2.620 3.704 -0.539
Ni -0.582 -2.508 8.216
Pm -0.317 0.152 2.776
Pm -0.589 3.663 1.879
Pm -6.743 0.105 2.157
Pm -2.612 -2.467 5.798
Pm 3.542 1.091 5.520
Pm -2.884 1.044 4.901
Pm 0.158 -0.433 6.496
Pm -3.360 1.629 1.181
Pb -3.192 -1.422 2.704
Pb -0.010 2.618 4.973

No. 9
16
Lattice="-0.552 -5.541 0.927 5.017 -0.906 -2.423 3.547 0.824 7.038" Properties=species:S:1:pos:R:3 comment="LiBiPd14 GGA-PBE optimized geometry" formation_energy_ev_per_atom=-0.12 pbc="T T T"
Pd 4.183 -2.870 -1.772
Pd 3.907 -5.641 -1.309
Pd 1.399 -5.188 -0.097
Pd 3.172 -4.776 3.422
Pd 5.442 -3.385 4.364
Pd 1.675 -2.417 -0.561
Pd 3.654 -3.801 0.816
Pd 5.714 -0.656 3.907
Pd 1.182 -3.355 2.009
Pd 3.926 -1.071 0.359
Pd 5.957 -2.458 1.747
Pd 2.970 -2.939 5.557
Pd 1.455 -0.625 1.553
Pd 3.242 -0.210 5.100
Li 3.448 -2.005 2.958
Bi 5.681 -5.228 2.210

No. 10
11
Lattice="-4.519 0.539 3.278 -3.373 -7.262 -3.478 4.691 -2.625 6.878" Properties=species:S:1:pos:R:3 comment="La8Pm2Pr GGA-PBE optimized geometry" relative_energy_mev_per_atom=0 formation_energy_ev_per_atom=0.13 pbc="T T T"
La -0.862 -2.249 -0.818
La -2.339 -7.099 7.496
La -4.490 -8.336 4.733
La -1.380 -6.320 3.904
La 0.367 -3.543 5.865
La -3.567 -5.805 0.813
La -1.821 -3.028 2.773
La 1.290 -1.013 1.945
Pm -0.292 -5.490 0.478
Pm 1.611 -4.396 2.922
Pr -2.260 0.269 1.639

No. 11
9
Lattice="4.041 -0.003 5.620 -2.226 3.895 -5.271 -5.984 0.095 3.478" Properties=species:S:1:pos:R:3 comment="Cd8Fe GGA-PBE optimized geometry" formation_energy_ev_per_atom=0.15 pbc="T T T"
Cd -5.530 2.687 -1.208
Cd -0.097 2.571 -1.572
Cd -3.449 1.387 2.481
Cd -2.680 1.302 -0.586
Cd -0.720 2.600 1.345
Cd -1.309 0.062 6.128
Cd -0.634 0.030 2.970
Cd 1.912 1.321 1.920
Fe 0.000 0.000 0.000

No. 12
10
Lattice="-2.771 5.600 -0.777 -6.654 -3.352 -0.429 -4.015 -1.128 6.189" Properties=species:S:1:pos:R:3 comment="RbNiBr3 GGA-PBE optimized geometry" e_form_raw_ev_per_atom=-0.901 pbc="T T T"
Br -7.562 -1.781 1.378
Br -7.279 1.719 0.089
Br -9.695 -2.380 4.666
Br -5.878 2.901 3.605
Br -6.160 -0.600 4.894
Br -3.745 3.500 0.317
Rb -9.189 1.214 3.256
Rb -4.251 -0.094 1.727
Ni 0.000 0.000 0.000
Ni -1.386 2.800 -0.389

Number 1: E -5.403 eV/atom. Number 2: E -7.773 eV/atom. Number 3: E -4.481 eV/atom. Number 4: E -4.077 eV/atom. Number 5: E -3.091 eV/atom. Number 6: E -6.129 eV/atom. Number 7: E -8.005 eV/atom. Number 8: E -5.016 eV/atom. Number 9: E -5.025 eV/atom. Number 10: E -4.755 eV/atom. Number 11: E -1.599 eV/atom. Number 12: E -3.255 eV/atom.